# 1
The following is a GGA-PBE calculation of crystalline HfZrBi2 at its relaxed geometry, from OQMD.

Lattice parameters (Å, degrees): 4.2110 4.2110 13.7836 90.00 90.00 120.00
Space group P-6m2 (No. 187)
Inequivalent atoms, fractional coordinates:
Hf  0.0000  0.0000  0.1289 [2 per cell]
Zr  0.3333  0.6667  0.3679 [2 per cell]
Bi  0.0000  0.0000  0.5000 [1 per cell]
Bi  0.3333  0.6667  0.0000 [1 per cell]
Bi  0.6667  0.3333  0.2465 [2 per cell]

Values from the calculation:
The calculation puts the energy above the most stable polymorph in this dataset at 0.0 kJ/mol of atoms.

***

# 2
The following is a GGA-PBE calculation of crystalline Y4FeNiN2 at its relaxed geometry, from OQMD.

Lattice parameters (Å, degrees): 3.4716 3.4716 13.5315 90.00 90.00 120.00
Space group P-6m2 (No. 187)
Inequivalent atoms, fractional coordinates:
Y  0.0000  0.0000  0.1460 [2 per cell]
Y  0.3333  0.6667  0.3521 [2 per cell]
Fe  0.3333  0.6667  0.0000 [1 per cell]
Ni  0.0000  0.0000  0.5000 [1 per cell]
N  0.6667  0.3333  0.2551 [2 per cell]

***

# 3
The following is a GGA-PBE calculation of crystalline ZrNbGe2Sb2 at its relaxed geometry, from OQMD.

Lattice parameters (Å, degrees): 3.794 3.794 8.512 90.00 90.00 90.00
Space group P4mm (No. 99)
Inequivalent atoms, fractional coordinates:
Zr  0.000  0.000  0.000 [1 per cell]
Nb  0.500  0.500  0.495 [1 per cell]
Ge  0.000  0.500  0.254 [2 per cell]
Sb  0.000  0.000  0.631 [1 per cell]
Sb  0.500  0.500  0.854 [1 per cell]

***

# 4
The following is a GGA-PBE calculation of crystalline NaAgSn at its relaxed geometry, from OQMD.

Lattice parameters (Å, degrees): 4.803 7.401 8.162 90.00 90.00 90.00
Space group Imm2 (No. 44)
Inequivalent atoms, fractional coordinates:
Na  0.000  0.000  0.000 [2 per cell]
Na  0.000  0.500  0.106 [2 per cell]
Ag  0.000  0.196  0.388 [4 per cell]
Sn  0.000  0.302  0.714 [4 per cell]

***

# 5
The following is a GGA-PBE calculation of crystalline AcTmMo at its relaxed geometry, from OQMD.

Lattice parameters (Å, degrees): 7.170 7.170 7.170 90.00 90.00 90.00
Space group F-43m (No. 216)
Inequivalent atoms, fractional coordinates:
Ac  0.000  0.000  0.000 [4 per cell]
Tm  0.250  0.250  0.250 [4 per cell]
Mo  0.000  0.000  0.500 [4 per cell]

Values from the calculation:
The calculation puts the energy above the most stable polymorph in this dataset at 0.0 kJ/mol of atoms. The calculation puts the formation energy at 1.25 eV per atom.

***

# 6
The following is a GGA-PBE calculation of crystalline LiScIn2Ag2Au2 at its relaxed geometry, from OQMD.

Lattice parameters (Å, degrees): 4.789 4.789 6.610 90.00 90.00 90.00
Space group P-4m2 (No. 115)
Inequivalent atoms, fractional coordinates:
Li  0.000  0.000  0.000 [1 per cell]
Sc  0.500  0.500  0.500 [1 per cell]
In  0.000  0.000  0.500 [1 per cell]
In  0.500  0.500  0.000 [1 per cell]
Ag  0.000  0.500  0.236 [2 per cell]
Au  0.000  0.500  0.750 [2 per cell]

***

# 7
The following is a GGA-PBE calculation of crystalline NaInNiPb at its relaxed geometry, from OQMD.

Lattice parameters (Å, degrees): 7.100 7.100 7.100 90.00 90.00 90.00
Space group F-43m (No. 216)
Inequivalent atoms, fractional coordinates:
Na  0.000  0.000  0.000 [4 per cell]
In  0.250  0.250  0.750 [4 per cell]
Ni  0.250  0.250  0.250 [4 per cell]
Pb  0.000  0.000  0.500 [4 per cell]

Values from the calculation:
The calculation puts the energy above the most stable polymorph in this dataset at 15.8 kJ/mol of atoms.

***

# 8
The following is a GGA-PBE calculation of crystalline Zr2AgSn at its relaxed geometry, from OQMD.

Lattice parameters (Å, degrees): 7.047 7.047 7.047 90.00 90.00 90.00
Space group F-43m (No. 216)
Inequivalent atoms, fractional coordinates:
Zr  0.000  0.000  0.000 [4 per cell]
Zr  0.250  0.250  0.250 [4 per cell]
Ag  0.250  0.250  0.750 [4 per cell]
Sn  0.000  0.000  0.500 [4 per cell]

***

no.,E_tot (eV per atom)
1,-6.7977
2,-7.6829
3,-6.4894
4,-2.8803
5,-5.2240
6,-3.6444
7,-3.0700
8,-5.8469